w) The following is a GGA-PBE calculation of a relaxed structure of NaAgHgS2, from the Alexandria database.

Output
* magnetic moment: 0.00 μB per formula unit
* space-group type: P4/mmm, No. 123

a = 5.1382 Å, b = 5.1561 Å, c = 5.1382 Å
α = 90.00°, β = 90.00°, γ = 90.00°
Closest atoms and distances in Å follow each position.
Positions (direct):
Hg: 0.0000 0.0000 0.0000  4 S 2.57, 2 Na 2.58
Ag: 0.5000 0.5000 0.5000  4 Na 3.63, 8 S 3.64
S: 0.5000 0.0000 0.0000  2 Hg 2.57
S: 0.0000 0.0000 0.5000  2 Hg 2.57
Na: 0.0000 0.5000 0.0000  2 Hg 2.58

---

x) The following is a GGA-PBE calculation of a relaxed structure of NaAgHgS2, from the Alexandria database.

Output
* magnetic moment: 0.00 μB per formula unit
* space-group type: C2/m, No. 12

a = 4.0840 Å, b = 7.7289 Å, c = 8.2769 Å
α = 103.50°, β = 90.00°, γ = 105.32°
Closest atoms and distances in Å follow each position.
Positions (direct):
Ag: 0.3620 0.7241 0.9584  3 S 2.51-2.56
Ag: 0.6380 0.2759 0.0416  3 S 2.51-2.56
S: 0.3629 0.7258 0.6558  1 Ag 2.51, 2 Hg 2.57
S: 0.6371 0.2742 0.3442  1 Ag 2.51, 2 Hg 2.57
S: 0.8637 0.7273 0.1447  1 Hg 2.45, 2 Ag 2.56
S: 0.1363 0.2727 0.8553  1 Hg 2.45, 2 Ag 2.56
Na: 0.7160 0.4320 0.6910  5 S 2.83-3.06
Na: 0.2840 0.5680 0.3090  5 S 2.83-3.06
Hg: 0.0294 0.0589 0.2747  3 S 2.45-2.57
Hg: 0.9706 0.9411 0.7253  3 S 2.45-2.57

---

Quick look at relative energies in eV/atom: w) 0.836; x) 0.000.

---

w) The following is a GGA-PBE calculation of a relaxed structure of NaAgSnHg, from the Alexandria database.

Output
* magnetic moment: 0.00 μB per formula unit
* space-group type: Cm, No. 8

a = 3.1874 Å, b = 7.8236 Å, c = 6.0799 Å
α = 41.46°, β = 90.00°, γ = 101.75°
Closest atoms and distances in Å follow each position.
Positions (direct):
Hg: 0.2301 0.4603 0.7142  2 Sn 2.96-3.13, 3 Na 2.99-3.09, 1 Ag 3.02, 2 Hg 3.19
Sn: 0.2441 0.4881 0.2011  2 Hg 2.96-3.13, 3 Ag 2.96-2.98, 2 Sn 3.19, 3 Na 3.19-3.29
Na: 0.5061 0.0123 0.3871  3 Hg 2.99-3.09, 2 Na 3.19, 3 Sn 3.19-3.29
Ag: 0.9740 0.9480 0.9366  3 Sn 2.96-2.98, 1 Hg 3.02, 2 Ag 3.19

---

x) The following is a GGA-PBE calculation of a relaxed structure of NaAgSnHg, from the Alexandria database.

Output
* magnetic moment: 0.00 μB per formula unit
* space-group type: F-43m, No. 216

a = 5.0603 Å, b = 5.0603 Å, c = 5.0603 Å
α = 60.00°, β = 60.00°, γ = 60.00°
Closest atoms and distances in Å follow each position.
Positions (direct):
Na: 0.7500 0.7500 0.7500  4 Hg 3.10, 4 Ag 3.10
Hg: 0.0000 0.0000 0.0000  4 Sn 3.10, 4 Na 3.10
Ag: 0.5000 0.5000 0.5000  4 Na 3.10, 4 Sn 3.10
Sn: 0.2500 0.2500 0.2500  4 Hg 3.10, 4 Ag 3.10

---

Quick look at relative energies in eV/atom: w) 0.032; x) 0.000.

---

w) The following is a GGA-PBE calculation of a relaxed structure of Nd4Ag2Hg, from the Alexandria database.

Output
* magnetic moment: 0.00 μB per formula unit
* space-group type: I-42d, No. 122

a = 8.1213 Å, b = 8.1213 Å, c = 8.1213 Å
α = 108.78°, β = 110.86°, γ = 108.78°
Closest atoms and distances in Å follow each position.
Positions (direct):
Nd: 0.9850 0.6053 0.7300  4 Ag 3.08-3.39, 2 Hg 3.18-3.33
Nd: 0.6253 0.7550 0.5200  4 Ag 3.08-3.39, 2 Hg 3.18-3.33
Nd: 0.2700 0.2550 0.8753  4 Ag 3.08-3.39, 2 Hg 3.18-3.33
Nd: 0.6203 0.7450 0.0150  4 Ag 3.08-3.39, 2 Hg 3.18-3.33
Nd: 0.1297 0.8947 0.3747  4 Ag 3.08-3.39, 2 Hg 3.18-3.33
Nd: 0.7650 0.2450 0.8703  4 Ag 3.08-3.39, 2 Hg 3.18-3.33
Nd: 0.1247 0.3947 0.3797  4 Ag 3.08-3.39, 2 Hg 3.18-3.33
Nd: 0.4800 0.1053 0.2350  4 Ag 3.08-3.39, 2 Hg 3.18-3.33
Hg: 0.7500 0.5000 0.2500  8 Nd 3.18-3.33
Hg: 0.0000 0.0000 0.0000  8 Nd 3.18-3.33
Ag: 0.8750 0.1232 0.4982  8 Nd 3.08-3.39
Ag: 0.3750 0.8768 0.7518  8 Nd 3.08-3.39
Ag: 0.2482 0.6232 0.1250  8 Nd 3.08-3.39
Ag: 0.5018 0.3768 0.6250  8 Nd 3.08-3.39

---

x) The following is a GGA-PBE calculation of a relaxed structure of Nd4Ag2Hg, from the Alexandria database.

Output
* magnetic moment: 0.81 μB per formula unit
* space-group type: Cmmm, No. 65

a = 5.1953 Å, b = 6.4991 Å, c = 6.4991 Å
α = 108.51°, β = 90.00°, γ = 90.00°
Closest atoms and distances in Å follow each position.
Positions (direct):
Nd: 0.0000 0.2379 0.2379  4 Ag 3.24-3.26, 2 Hg 3.27, 1 Nd 3.61
Nd: 0.5000 0.5000 0.0000  4 Ag 3.22, 2 Hg 3.25
Nd: 0.5000 0.0000 0.5000  4 Ag 3.22, 2 Hg 3.25
Nd: 0.0000 0.7621 0.7621  4 Ag 3.24-3.26, 2 Hg 3.27, 1 Nd 3.61
Hg: 0.5000 0.5000 0.5000  8 Nd 3.25-3.27
Ag: 0.0000 0.7450 0.2550  8 Nd 3.22-3.26
Ag: 0.0000 0.2550 0.7450  8 Nd 3.22-3.26

---

Quick look at relative energies in eV/atom: w) 0.012; x) 0.000.

---

w) The following is a GGA-PBE calculation of a relaxed structure of Nd3Ag2Hg3, from the Alexandria database.

Output
* magnetic moment: 0.00 μB per formula unit
* space-group type: C2/m, No. 12

a = 3.9862 Å, b = 5.2541 Å, c = 10.3946 Å
α = 103.28°, β = 101.05°, γ = 90.00°
Closest atoms and distances in Å follow each position.
Positions (direct):
Ag: 0.7608 0.7822 0.5215  2 Hg 2.95, 4 Nd 3.14-3.30, 2 Ag 3.14
Ag: 0.2392 0.2178 0.4785  2 Hg 2.95, 4 Nd 3.14-3.30, 2 Ag 3.14
Hg: 0.3705 0.8827 0.7409  2 Ag 2.95, 4 Nd 3.25-3.30
Hg: 0.6295 0.1173 0.2591  2 Ag 2.95, 4 Nd 3.25-3.30
Hg: 0.5000 0.5000 0.0000  8 Nd 3.30-3.41, 4 Hg 3.67-3.68
Nd: 0.1392 0.6254 0.2784  4 Ag 3.14-3.30, 6 Hg 3.30-3.41
Nd: 0.0000 0.0000 0.0000  8 Hg 3.25-3.30
Nd: 0.8608 0.3746 0.7216  4 Ag 3.14-3.30, 6 Hg 3.30-3.41

---

x) The following is a GGA-PBE calculation of a relaxed structure of Nd3Ag2Hg3, from the Alexandria database.

Output
* magnetic moment: 0.00 μB per formula unit
* space-group type: P-62m, No. 189

a = 4.0043 Å, b = 7.8112 Å, c = 7.8112 Å
α = 120.00°, β = 90.00°, γ = 90.00°
Closest atoms and distances in Å follow each position.
Positions (direct):
Nd: 0.5000 0.0000 0.6063  4 Ag 3.13, 6 Hg 3.35-3.48
Nd: 0.5000 0.6063 0.0000  4 Ag 3.13, 6 Hg 3.35-3.48
Nd: 0.5000 0.3937 0.3937  4 Ag 3.13, 6 Hg 3.35-3.48
Hg: 0.0000 0.2414 0.0000  2 Ag 3.03, 2 Hg 3.27, 4 Nd 3.35
Hg: 0.0000 0.7586 0.7586  2 Ag 3.03, 2 Hg 3.27, 4 Nd 3.35
Hg: 0.0000 0.0000 0.2414  2 Ag 3.03, 2 Hg 3.27, 4 Nd 3.35
Ag: 0.0000 0.3333 0.6667  3 Hg 3.03, 6 Nd 3.13
Ag: 0.0000 0.6667 0.3333  3 Hg 3.03, 6 Nd 3.13

---

Quick look at relative energies in eV/atom: w) 0.010; x) 0.000.

---

w) The following is a GGA-PBE calculation of a relaxed structure of Nd2AgHg5, from the Alexandria database.

Output
* magnetic moment: 0.00 μB per formula unit
* space-group type: R-3m, No. 166

a = 4.7936 Å, b = 4.7936 Å, c = 11.4107 Å
α = 77.87°, β = 77.87°, γ = 60.00°
Closest atoms and distances in Å follow each position.
Positions (direct):
Ag: 0.0000 0.0000 0.0000  6 Hg 3.02, 2 Nd 3.11
Hg: 0.1995 0.1995 0.4016  3 Hg 2.97, 3 Nd 3.07
Hg: 0.3696 0.3696 0.8912  3 Ag 3.02, 3 Nd 3.36
Hg: 0.5000 0.5000 0.5000  6 Hg 2.97
Hg: 0.6304 0.6304 0.1088  3 Ag 3.02, 3 Nd 3.36
Hg: 0.8005 0.8005 0.5984  3 Hg 2.97, 3 Nd 3.07
Nd: 0.0937 0.0937 0.7190  6 Hg 3.07-3.36, 1 Ag 3.11
Nd: 0.9063 0.9063 0.2810  6 Hg 3.07-3.36, 1 Ag 3.11

---

x) The following is a GGA-PBE calculation of a relaxed structure of Nd2AgHg5, from the Alexandria database.

Output
* magnetic moment: 0.00 μB per formula unit
* space-group type: I4/mmm, No. 139

a = 5.2797 Å, b = 5.2797 Å, c = 8.0908 Å
α = 109.04°, β = 109.04°, γ = 90.00°
Closest atoms and distances in Å follow each position.
Positions (direct):
Hg: 0.6154 0.1154 0.2307  2 Ag 3.12, 3 Hg 3.12-3.31, 4 Nd 3.26-3.28
Hg: 0.8846 0.3846 0.7693  3 Hg 3.12-3.31, 2 Ag 3.12, 4 Nd 3.26-3.28
Hg: 0.1154 0.6154 0.2307  3 Hg 3.12-3.31, 2 Ag 3.12, 4 Nd 3.26-3.28
Hg: 0.3846 0.8846 0.7693  2 Ag 3.12, 3 Hg 3.12-3.31, 4 Nd 3.26-3.28
Hg: 0.5000 0.5000 0.0000  8 Hg 3.12
Ag: 0.0000 0.0000 0.0000  8 Hg 3.12
Nd: 0.2511 0.2511 0.5021  9 Hg 3.26-3.57, 1 Ag 3.60
Nd: 0.7489 0.7489 0.4979  9 Hg 3.26-3.57, 1 Ag 3.60

---

Quick look at relative energies in eV/atom: w) 0.035; x) 0.000.

---

w) The following is a GGA-PBE calculation of a relaxed structure of Nd3AgHg, from the Alexandria database.

Output
* magnetic moment: 0.42 μB per formula unit
* space-group type: Cmcm, No. 63

a = 5.3558 Å, b = 5.3592 Å, c = 10.4722 Å
α = 90.00°, β = 75.18°, γ = 90.00°
Closest atoms and distances in Å follow each position.
Positions (direct):
Nd: 0.5743 0.2500 0.4998  4 Ag 3.29, 4 Hg 3.30
Nd: 0.7613 0.2500 0.1257  2 Hg 3.26, 2 Ag 3.27
Nd: 0.0741 0.7500 0.5002  4 Ag 3.29, 4 Hg 3.30
Nd: 0.8870 0.7500 0.8743  2 Hg 3.26, 2 Ag 3.27
Nd: 0.3877 0.2500 0.8730  2 Hg 3.25, 2 Ag 3.26
Nd: 0.2607 0.7500 0.1270  2 Hg 3.25, 2 Ag 3.26
Ag: 0.4796 0.7500 0.6891  8 Nd 3.26-3.29
Ag: 0.1687 0.2500 0.3109  8 Nd 3.26-3.29
Hg: 0.6697 0.7500 0.3089  8 Nd 3.25-3.30
Hg: 0.9786 0.2500 0.6911  8 Nd 3.25-3.30

---

x) The following is a GGA-PBE calculation of a relaxed structure of Nd3AgHg, from the Alexandria database.

Output
* magnetic moment: 0.00 μB per formula unit
* space-group type: P1, No. 1

a = 3.7198 Å, b = 10.7520 Å, c = 8.7042 Å
α = 60.29°, β = 89.83°, γ = 89.90°
Closest atoms and distances in Å follow each position.
Positions (direct):
Nd: 0.8640 0.6813 0.4074  2 Hg 3.21-3.22, 2 Ag 3.28-3.29, 1 Nd 3.53
Nd: 0.8614 0.9753 0.6753  4 Ag 3.22-3.39, 3 Hg 3.31-3.40
Nd: 0.8596 0.3735 0.8311  2 Ag 3.20-3.21, 1 Hg 3.22, 1 Nd 3.53
Nd: 0.8627 0.6007 0.0384  2 Ag 3.09, 3 Hg 3.27
Nd: 0.3653 0.3694 0.4533  1 Ag 3.04, 2 Hg 3.22
Nd: 0.3689 0.0187 0.2372  2 Ag 3.09-3.21, 2 Hg 3.17
Ag: 0.3617 0.8259 0.0494  1 Ag 2.84, 2 Nd 3.09
Ag: 0.3572 0.1291 0.8354  1 Ag 2.84, 2 Nd 3.04-3.09
Hg: 0.8686 0.2510 0.2520  7 Nd 3.17-3.40
Hg: 0.3629 0.7165 0.6848  6 Nd 3.21-3.31

---

Quick look at relative energies in eV/atom: w) 0.000; x) 0.101.